Entry 1:
Entry from the Alexandria database: AlCd2Ni after structural relaxation (GGA-PBEsol).

Calculated values
SG: I-4m2
Formation energy from the elements in meV per atom: 23
V in Å³ per atom: 16.0

abc: 4.0122 4.0122 4.8792
angles: 114.28 114.28 90.00
Sites, in units of the cell vectors:
Cd1 0.7500 0.2500 0.5000
Cd2 0.0000 0.0000 0.0000
Ni1 0.5000 0.5000 0.0000
Al1 0.2500 0.7500 0.5000

Entry 2:
Entry from the Alexandria database: Al22CdO34 after structural relaxation (GGA-PBEsol).

Calculated values
Raw formation energy in eV/atom: -2.95
SG: P2_1/m
V in Å³ per atom: 10.8

abc: 9.7108 11.2440 11.6752
angles: 90.00 105.37 90.00
Sites, in units of the cell vectors:
O1 0.5000 0.5000 0.5000
Al1 0.9492 0.2500 0.3522
O2 0.1895 0.4975 0.1000
O3 0.4107 0.7500 0.7161
Al2 0.4008 0.2500 0.2125
O4 0.3389 0.3684 0.2997
Al3 0.1503 0.2500 0.9458
O5 0.0966 0.2500 0.2858
O6 0.6870 0.7500 0.1024
O7 0.0455 0.3827 0.8991
O8 0.9092 0.9977 0.7161
O9 0.8435 0.1257 0.2925
Al4 0.3464 0.6250 0.7841
O10 0.2980 0.9979 0.8898
O11 0.4095 0.5006 0.7136
O12 0.1565 0.6257 0.7075
O13 0.9533 0.3818 0.0986
Al5 0.6495 0.0016 0.9491
Al6 0.0508 0.7500 0.6478
Al7 0.9006 0.4990 0.2160
O14 0.4551 0.8656 0.1013
O15 0.9411 0.7500 0.5021
Al8 0.5545 0.4998 0.6487
Al9 0.0000 0.0000 0.0000
O16 0.5905 0.4994 0.2864
O17 0.9079 0.2500 0.7039
Cd1 0.2804 0.2500 0.4626
Al10 0.6512 0.6233 0.2137
Al11 0.1499 0.3763 0.2069
Al12 0.8501 0.6237 0.7931
O18 0.4506 0.1328 0.1001
Al13 0.5545 0.0002 0.6487
Al14 0.6536 0.3750 0.2159
Al15 0.3505 0.9984 0.0509
Al16 0.0000 0.5000 0.0000
Al17 0.5992 0.7500 0.7875
Al18 0.3464 0.8750 0.7841
O19 0.8435 0.3743 0.2925
O20 0.0908 0.4977 0.2839
O21 0.6592 0.3754 0.7115
O22 0.5494 0.8672 0.8999
Al19 0.3488 0.3767 0.7863
O23 0.1895 0.0025 0.1000
Al20 0.6536 0.1250 0.2159
O24 0.6611 0.6316 0.7003
Al21 0.0994 0.5010 0.7840
Al22 0.4455 0.5002 0.3513
Al23 0.9391 0.7500 0.3522
O25 0.4095 0.9994 0.7136
O26 0.9034 0.7500 0.7142
Al24 0.5005 0.7500 0.9995
Al25 0.1517 0.7500 0.9517
O27 0.3389 0.1316 0.2997
O28 0.6611 0.8684 0.7003
O29 0.0921 0.7500 0.2961
Al26 0.6512 0.8767 0.2137
O30 0.5943 0.7500 0.2943
Al27 0.4995 0.2500 0.0005
O31 0.3120 0.7500 0.9008
O32 0.2980 0.5021 0.8898
O33 0.8400 0.8768 0.2886
Al28 0.8501 0.8763 0.7931
Cd2 0.7196 0.7500 0.5374
O34 0.6592 0.1246 0.7115
Al29 0.1499 0.1237 0.2069
O35 0.5449 0.1344 0.8987
O36 0.5000 0.0000 0.5000
O37 0.1600 0.1232 0.7114
O38 0.9533 0.1182 0.0986
Al30 0.3997 0.7500 0.2162
Al31 0.3505 0.5016 0.0509
Al32 0.3488 0.1233 0.7863
O39 0.7995 0.2500 0.8871
O40 0.4506 0.3672 0.1001
Al33 0.8495 0.3734 0.7817
O41 0.0455 0.1173 0.8991
O42 0.9092 0.5023 0.7161
O43 0.0467 0.6182 0.9014
O44 0.7020 0.0021 0.1102
O45 0.4057 0.2500 0.7057
Al34 0.8483 0.2500 0.0483
O46 0.9545 0.8827 0.1009
O47 0.6880 0.2500 0.0992
Al35 0.4455 0.9998 0.3513
Al36 0.6495 0.4984 0.9491
O48 0.1600 0.3768 0.7114
O49 0.5893 0.2500 0.2839
O50 0.3408 0.8754 0.2885
O51 0.5905 0.0006 0.2864
Al37 0.0994 0.9990 0.7840
O52 0.2036 0.2500 0.1088
O53 0.8400 0.6232 0.2886
Al38 0.6003 0.2500 0.7838
Al39 0.9006 0.0010 0.2160
O54 0.4551 0.6344 0.1013
O55 0.3130 0.2500 0.8976
Al40 0.1505 0.8734 0.2183
Al41 0.8495 0.1266 0.7817
Al42 0.8497 0.7500 0.0542
O56 0.9545 0.6173 0.1009
O57 0.0589 0.2500 0.4979
O58 0.8105 0.5025 0.9000
O59 0.7964 0.7500 0.8912
O60 0.3408 0.6246 0.2885
O61 0.5449 0.3656 0.8987
O62 0.2005 0.7500 0.1129
O63 0.0467 0.8818 0.9014
O64 0.5494 0.6328 0.8999
O65 0.1565 0.8743 0.7075
Al43 0.1505 0.6266 0.2183
O66 0.8105 0.9975 0.9000
O67 0.7020 0.4979 0.1102
Al44 0.0609 0.2500 0.6478
O68 0.0908 0.0023 0.2839

Entry 3:
Entry from the Alexandria database: AlCdSnO2 after structural relaxation (GGA-PBEsol).

Calculated values
Raw formation energy in eV/atom: 0.28
SG: P4/mmm
V in Å³ per atom: 18.9

abc: 4.1270 4.1270 5.5547
angles: 90.00 90.00 90.00
Sites, in units of the cell vectors:
O1 0.5000 0.0000 0.0000
Al1 0.5000 0.5000 0.5000
Cd1 0.0000 0.0000 0.0000
O2 0.0000 0.5000 0.0000
Sn1 0.0000 0.0000 0.5000

Entry 4:
Entry from the Alexandria database: AlCd2Os after structural relaxation (GGA-PBEsol).

Calculated values
SG: P4/mmm
Formation energy from the elements in meV per atom: 288
V in Å³ per atom: 16.5

abc: 3.9076 3.9076 4.3100
angles: 90.00 90.00 90.00
Sites, in units of the cell vectors:
Al1 0.0000 0.0000 0.5000
Cd1 0.0000 0.5000 0.0000
Cd2 0.5000 0.0000 0.0000
Os1 0.5000 0.5000 0.5000

Entry 5:
Entry from the Alexandria database: AlCd2Os after structural relaxation (GGA-PBEsol).

Calculated values
SG: P2/m
Formation energy from the elements in meV per atom: 307
V in Å³ per atom: 16.9

abc: 2.7487 4.7879 5.1486
angles: 90.00 90.00 90.82
Sites, in units of the cell vectors:
Cd1 0.7452 0.7486 0.0000
Al1 0.5000 0.0000 0.5000
Cd2 0.2548 0.2514 0.0000
Os1 0.0000 0.5000 0.5000

Entry 6:
Entry from the Alexandria database: AlCd2Os after structural relaxation (GGA-PBEsol).

Calculated values
SG: Cmmm
Formation energy from the elements in meV per atom: 469
V in Å³ per atom: 17.8

abc: 2.7769 2.7769 10.5230
angles: 90.00 90.00 118.83
Sites, in units of the cell vectors:
Cd1 0.0000 0.0000 0.2665
Cd2 0.0000 0.0000 0.7335
Al1 0.5000 0.5000 0.0000
Os1 0.5000 0.5000 0.5000

Entry 7:
Entry from the Alexandria database: Al2CdOs after structural relaxation (GGA-PBEsol).

Calculated values
SG: Cmmm
Formation energy from the elements in meV per atom: 117
V in Å³ per atom: 16.4

abc: 2.8586 2.8586 9.0431
angles: 90.00 90.00 117.37
Sites, in units of the cell vectors:
Al1 0.0000 0.0000 0.7803
Cd1 0.5000 0.5000 0.5000
Al2 0.0000 0.0000 0.2197
Os1 0.5000 0.5000 0.0000

Entry 8:
Entry from the Alexandria database: AlCd2Os after structural relaxation (GGA-PBEsol).

Calculated values
SG: P4mm
Formation energy from the elements in meV per atom: 95
V in Å³ per atom: 17.1

abc: 3.1756 3.1756 6.7823
angles: 90.00 90.00 90.00
Sites, in units of the cell vectors:
Cd1 0.0000 0.0000 0.2731
Os1 0.5000 0.5000 0.5444
Cd2 0.5000 0.5000 0.9829
Al1 0.0000 0.0000 0.6995